No. 1
Below is a geometry-optimized LiHo2Ag structure, with properties calculated at the PBE level.

a b c (Å): 5.105 5.105 3.669
angles (deg): 90.00 90.00 90.00
Space group P4/mmm (No. 123)
Inequivalent atoms, fractional coordinates:
1 Li 0.000 0.000 0.000
2 Ho 0.000 0.500 0.500
3 Ag 0.500 0.500 0.000

Computed properties:
For the raw total energy, the calculation gives -0.264 Ry/atom. As for the magnetization: 0.000 Bohr magnetons per cell.

No. 2
Below is a geometry-optimized PrAlAg2S4 structure, with properties calculated at the PBE level.

a b c (Å): 10.442 11.421 7.493
angles (deg): 90.00 130.11 90.00
Space group C2/c (No. 15)
Inequivalent atoms, fractional coordinates:
1 Pr 0.250 0.250 0.000
2 Al 0.000 0.000 0.000
3 Ag 0.000 0.500 0.000
4 Ag 0.250 0.250 0.500
5 S 0.013 0.213 0.503
6 S 0.221 0.001 0.420

Computed properties:
For the raw total energy, the calculation gives -0.345 Ry/atom. As for the magnetization: 0.000 Bohr magnetons per cell. The calculation puts the raw formation energy at -851 meV/atom.

No. 3
Below is a geometry-optimized Zr2SiPb structure, with properties calculated at the PBE level.

a b c (Å): 4.170 4.170 9.694
angles (deg): 90.00 90.00 90.00
Space group I-4m2 (No. 119)
Inequivalent atoms, fractional coordinates:
1 Zr 0.000 0.000 0.000
2 Zr 0.000 0.500 0.250
3 Si 0.000 0.000 0.500
4 Pb 0.000 0.500 0.750

Computed properties:
For the raw total energy, the calculation gives -0.499 Ry/atom. As for the magnetization: 0.000 Bohr magnetons per cell. The calculation puts the raw formation energy at -230 meV/atom.

No. 4
Below is a geometry-optimized Li3HgMo structure, with properties calculated at the PBE level.

a b c (Å): 4.859 4.859 4.859
angles (deg): 90.00 90.00 90.00
Space group Pm-3m (No. 221)
Inequivalent atoms, fractional coordinates:
1 Li 0.000 0.000 0.500
2 Hg 0.000 0.000 0.000
3 Mo 0.500 0.500 0.500

Computed properties:
For the raw total energy, the calculation gives -0.187 Ry/atom. As for the magnetization: 4.053 Bohr magnetons per cell.

No. 5
Below is a geometry-optimized TbPr4Nd3 structure, with properties calculated at the PBE level.

a b c (Å): 10.424 7.363 7.357
angles (deg): 90.00 90.00 90.00
Space group Pmna (No. 53)
Inequivalent atoms, fractional coordinates:
1 Tb 0.000 0.000 0.000
2 Pr 0.000 0.000 0.500
3 Pr 0.000 0.500 0.000
4 Pr 0.250 0.248 0.250
5 Nd 0.000 0.500 0.500
6 Nd 0.250 0.248 0.750

Computed properties:
For the raw total energy, the calculation gives -0.349 Ry/atom. As for the magnetization: 0.000 Bohr magnetons per cell.

No. 6
Below is a geometry-optimized Ta3MoOs structure, with properties calculated at the PBE level.

a b c (Å): 4.537 16.294 4.543
angles (deg): 90.00 90.00 90.00
Space group Cmcm (No. 63)
Inequivalent atoms, fractional coordinates:
1 Ta 0.000 0.054 0.250
2 Ta 0.000 0.250 0.250
3 Ta 0.000 0.445 0.250
4 Mo 0.000 0.152 0.750
5 Os 0.000 0.349 0.750

Computed properties:
For the raw total energy, the calculation gives -0.873 Ry/atom. As for the magnetization: 0.000 Bohr magnetons per cell.

No. 7
Below is a geometry-optimized SrSCl structure, with properties calculated at the PBE level.

a b c (Å): 4.248 5.686 14.130
angles (deg): 90.00 90.00 90.00
Space group Immm (No. 71)
Inequivalent atoms, fractional coordinates:
1 Sr 0.000 0.000 0.138
2 S 0.000 0.312 0.500
3 Cl 0.000 0.500 0.216

Computed properties:
For the raw total energy, the calculation gives -0.330 Ry/atom. As for the magnetization: 0.000 Bohr magnetons per cell. The calculation puts the raw formation energy at -1934 meV/atom.

No. 8
Below is a geometry-optimized La2TaRh structure, with properties calculated at the PBE level.

a b c (Å): 3.308 3.308 9.211
angles (deg): 90.00 90.00 90.00
Space group P4mm (No. 99)
Inequivalent atoms, fractional coordinates:
1 La 0.000 0.000 0.000
2 La 0.500 0.500 0.366
3 Ta 0.500 0.500 0.747
4 Rh 0.000 0.000 0.607

Computed properties:
For the raw total energy, the calculation gives -0.543 Ry/atom. As for the magnetization: 0.000 Bohr magnetons per cell.